DFT (PBE) results for crystalline TbPm2Sb at its relaxed geometry.

Cell: 4.0901 4.0901 28.8384 Å, 90.00 90.00 120.00°
Last column: nearest neighbours and their distance in Å.
Space group R3m (No. 160, hexagonal axes)
Unique sites:
Tb (0.0000, 0.0000, 0.0000)  6 Pm 3.69, 6 Tb 4.09
Pm (0.0000, 0.0000, 0.5684)  3 Sb 3.08
Pm (0.0000, 0.0000, 0.7649)  3 Sb 3.07
Sb (0.0000, 0.0000, 0.1664)  6 Pm 3.07-3.08

Computed properties:
- Excess energy over the best structure of this formula in the dataset: 0.200 eV per atom
- Total magnetic moment: 0.996 μB per formula unit
- Volume: 139 Å³/f.u.
- Uncorrected energy: -4.91 eV per atom
- DOS(E_F): 12.5 states/eV/cell